[1]
Material: CaGaPtO6
Method: DFT, PBE
State: relaxed

Computed properties:
- density of states at the Fermi level (states/eV/atom) = 0.72
- spin magnetization (μB/cell) = 2.3
- raw formation energy (eV per formula unit) = -11.05
- total energy (eV per atom) = -5.764

```
18
Lattice="-2.046 0.565 4.760 -1.482 -3.983 -3.017 7.345 -5.632 3.826" Properties=species:S:1:pos:R:3 pbc="T T T"
O 1.338 -3.261 1.974
O 3.970 -3.441 4.188
O 4.973 -4.484 6.304
O -1.190 -2.998 1.637
O 3.317 -6.786 6.096
O 5.007 -6.051 3.931
O 1.658 -4.551 -0.540
O 0.501 -2.264 -0.528
O -1.156 -4.565 -0.735
O 2.160 -4.498 6.108
O -0.153 -5.609 1.381
O 2.480 -5.788 3.594
Ga 3.839 -6.691 2.444
Ga -0.022 -2.359 3.124
Ca 0.000 0.000 0.000
Ca 3.673 -2.816 1.913
Pt 3.651 -5.175 5.037
Pt 0.166 -3.875 0.531
```



[2]
Material: Hf12FePd6
Method: DFT, PBE
State: relaxed

Computed properties:
- density of states at the Fermi level (states/eV/atom) = 1.17
- spin magnetization (μB/cell) = 1.6
- total energy (eV per atom) = -8.667

```
19
Lattice="-2.577 0.763 6.630 6.625 0.087 2.697 0.275 7.125 -0.581" Properties=species:S:1:pos:R:3 pbc="T T T"
Hf 2.615 1.805 4.446
Hf 1.996 0.262 1.872
Hf 2.682 4.214 2.216
Hf 1.708 6.169 4.299
Hf -0.760 1.267 2.318
Hf 4.345 4.262 4.735
Hf 2.328 7.713 6.873
Hf 3.346 5.421 8.459
Hf -0.021 3.713 4.011
Hf 0.977 2.553 0.286
Hf 5.083 6.708 6.427
Hf 1.641 3.760 6.529
Pd -0.336 5.890 6.191
Pd 4.092 2.522 7.073
Pd 0.231 5.453 1.672
Pd 4.660 2.085 2.554
Pd -0.062 1.369 5.541
Pd 4.386 6.606 3.204
Fe 0.000 0.000 0.000
```



[3]
Material: TaCoBi2H
Method: DFT, PBE
State: relaxed

Computed properties:
- density of states at the Fermi level (states/eV/atom) = 0.96
- energy above the most stable polymorph in this dataset (eV per atom) = 0.000
- spin magnetization (μB/cell) = 1.1
- total energy (eV per atom) = -5.376

```
5
Lattice="5.367 0.000 0.000 0.000 3.181 0.000 0.000 0.000 5.367" Properties=species:S:1:pos:R:3 pbc="T T T"
Bi 0.000 0.000 2.684
Bi 2.684 0.000 0.000
H 0.000 1.591 0.000
Ta 2.684 1.591 2.684
Co 0.000 0.000 0.000
```



[4]
Material: Sc2Al2Cu
Method: DFT, PBE
State: relaxed

Computed properties:
- density of states at the Fermi level (states/eV/atom) = 1.07
- energy above the most stable polymorph in this dataset (eV per atom) = 0.000
- spin magnetization (μB/cell) = 0.0
- total energy (eV per atom) = -5.210

```
10
Lattice="6.497 0.000 0.000 0.000 6.497 0.000 0.000 0.000 4.437" Properties=species:S:1:pos:R:3 pbc="T T T"
Al 5.577 4.168 0.000
Al 2.329 5.577 0.000
Al 4.168 0.919 0.000
Al 0.919 2.329 0.000
Sc 1.080 4.328 2.219
Sc 5.417 2.169 2.219
Sc 2.169 1.080 2.219
Sc 4.328 5.417 2.219
Cu 3.248 3.248 0.000
Cu 0.000 0.000 0.000
```



[5]
Material: NdH5Se2O8
Method: DFT, PBE
State: relaxed

Computed properties:
- density of states at the Fermi level (states/eV/atom) = 0.00
- spin magnetization (μB/cell) = 0.0
- total energy (eV per atom) = -5.642

```
64
Lattice="6.860 0.000 0.000 0.000 7.208 0.000 0.000 0.000 16.478" Properties=species:S:1:pos:R:3 pbc="T T T"
O 6.693 0.709 11.542
O 2.819 4.932 0.992
O 3.263 2.895 4.936
O 4.041 1.328 7.247
O 4.381 0.686 14.253
O 3.597 6.499 3.303
O 6.268 0.797 1.578
O 0.611 2.275 9.231
O 1.304 5.229 3.919
O 6.249 5.879 15.486
O 4.011 1.435 0.317
O 2.125 1.979 12.158
O 2.746 5.715 14.934
O 0.591 4.401 6.661
O 4.721 3.033 12.547
O 5.568 4.175 4.308
O 2.839 2.807 14.900
O 0.581 2.169 16.161
O 2.139 6.637 12.170
O 6.279 5.773 8.556
O 6.176 5.096 1.544
O 0.167 4.313 13.175
O 0.951 2.918 2.225
O 0.683 1.492 6.695
O 1.291 0.571 3.931
O 4.734 5.583 12.559
O 4.021 6.411 9.817
O 2.479 4.290 10.464
O 5.555 1.625 4.320
O 2.849 5.039 7.922
O 4.113 2.111 9.783
O 5.909 6.522 6.014
H 2.752 5.430 15.902
H 5.391 5.977 9.006
H 1.469 2.373 15.711
H 1.961 4.835 7.472
H 4.899 1.231 0.767
H 4.701 0.716 6.859
H 3.581 2.940 9.868
H 0.151 0.664 6.610
H 3.279 6.544 14.849
H 1.272 2.888 9.619
H 2.158 4.320 1.380
H 3.808 1.948 6.519
H 3.052 5.552 1.720
H 6.482 5.259 14.758
H 6.709 4.268 1.629
H 0.378 1.656 9.959
H 5.588 6.492 15.098
H 4.107 1.827 8.815
H 0.677 1.777 7.663
H 6.182 5.381 0.576
Se 2.474 5.742 9.529
Se 1.082 0.711 12.717
Se 2.348 6.497 4.478
Se 5.777 4.315 12.000
Se 5.904 5.070 6.949
Se 0.956 1.466 1.290
Se 4.386 2.138 15.188
Se 4.512 2.893 3.761
Nd 5.992 6.507 3.527
Nd 2.562 4.305 12.950
Nd 4.297 0.701 11.766
Nd 0.867 2.903 4.711
```



[6]
Material: Ta2MnTe
Method: DFT, PBE
State: relaxed

Computed properties:
- density of states at the Fermi level (states/eV/atom) = 0.73
- spin magnetization (μB/cell) = 2.8
- raw formation energy (eV per formula unit) = 1.21
- total energy (eV per atom) = -8.702

```
4
Lattice="3.067 0.002 0.000 -0.974 2.908 0.000 0.000 0.000 8.429" Properties=species:S:1:pos:R:3 pbc="T T T"
Mn 1.047 1.455 6.394
Ta 1.047 1.455 2.038
Ta 0.000 0.000 8.347
Te 0.000 0.000 4.293
```



[7]
Material: Tl2Hg4Pb5
Method: DFT, PBE
State: relaxed

Computed properties:
- density of states at the Fermi level (states/eV/atom) = 0.48
- spin magnetization (μB/cell) = 0.0
- total energy (eV per atom) = -2.171

```
11
Lattice="6.616 0.000 0.000 3.308 7.050 -0.186 3.308 1.408 7.245" Properties=species:S:1:pos:R:3 pbc="T T T"
Pb 3.308 4.229 3.530
Pb 4.934 6.063 1.128
Pb 8.298 6.063 1.128
Pb 4.934 2.395 5.931
Pb 8.298 2.395 5.931
Tl 6.616 5.595 4.774
Tl 6.616 2.863 2.285
Hg 3.308 3.022 0.552
Hg 9.924 5.436 6.507
Hg 3.308 1.112 3.070
Hg 9.924 7.346 3.989
```



[8]
Material: Ba2ScCl
Method: DFT, PBE
State: relaxed

Computed properties:
- density of states at the Fermi level (states/eV/atom) = 1.90
- energy above the most stable polymorph in this dataset (eV per atom) = 0.695
- spin magnetization (μB/cell) = 2.2
- raw formation energy (eV per formula unit) = 0.32
- total energy (eV per atom) = -2.925

```
4
Lattice="-3.390 3.085 3.980 -6.054 -0.132 -0.425 -3.270 -2.981 4.156" Properties=species:S:1:pos:R:3 pbc="T T T"
Cl -6.357 -0.014 3.855
Sc -9.536 -0.021 5.783
Ba -3.179 -0.007 1.928
Ba 0.000 0.000 0.000
```



[9]
Material: SiAsN2
Method: DFT, PBE
State: relaxed

Computed properties:
- density of states at the Fermi level (states/eV/atom) = 0.31
- energy above the most stable polymorph in this dataset (eV per atom) = 1.648
- spin magnetization (μB/cell) = 0.0
- raw formation energy (eV per formula unit) = 5.93
- total energy (eV per atom) = -5.199

```
4
Lattice="0.000 2.745 2.745 2.745 0.000 2.745 2.745 2.745 0.000" Properties=species:S:1:pos:R:3 pbc="T T T"
N 4.117 4.117 4.117
N 1.372 1.372 1.372
Si 0.000 0.000 0.000
As 2.745 2.745 2.745
```



[10]
Material: TaTl2W
Method: DFT, PBE
State: relaxed

Computed properties:
- density of states at the Fermi level (states/eV/atom) = 0.49
- energy above the most stable polymorph in this dataset (eV per atom) = 0.358
- spin magnetization (μB/cell) = 0.0
- total energy (eV per atom) = -6.512

```
4
Lattice="-1.010 -5.142 1.311 1.580 -4.487 2.560 -2.486 1.161 4.547" Properties=species:S:1:pos:R:3 pbc="T T T"
Tl -1.444 -6.385 6.345
Tl -1.909 -8.452 8.393
W -0.910 -4.251 4.118
Ta -0.528 -2.084 2.188
```



[11]
Material: ErAg4Bi
Method: DFT, PBE
State: relaxed

Computed properties:
- density of states at the Fermi level (states/eV/atom) = 0.46
- spin magnetization (μB/cell) = 0.0
- total energy (eV per atom) = -3.468

```
6
Lattice="5.691 0.000 0.000 2.845 4.928 0.000 2.845 1.643 4.646" Properties=species:S:1:pos:R:3 pbc="T T T"
Bi 2.845 1.643 1.162
Ag 4.262 4.110 2.906
Ag 5.691 3.286 0.574
Ag 5.691 1.636 2.906
Ag 7.119 4.110 2.906
Er 0.000 0.000 0.000
```



[12]
Material: BaLi2As2O7
Method: DFT, PBE
State: relaxed

Computed properties:
- density of states at the Fermi level (states/eV/atom) = 0.00
- spin magnetization (μB/cell) = 0.0
- raw formation energy (eV per formula unit) = -22.25
- total energy (eV per atom) = -6.000

```
12
Lattice="-4.297 3.577 0.369 -5.102 -1.564 -1.709 -4.744 -2.014 6.820" Properties=species:S:1:pos:R:3 pbc="T T T"
Li -3.512 0.039 1.265
Li -10.630 -0.040 4.216
O 0.000 0.000 0.000
O -6.918 -1.429 0.397
O -8.453 1.869 1.275
O -8.998 0.883 4.490
O -4.805 1.286 1.868
O -7.844 -2.531 3.484
O -5.409 -0.084 4.928
As -9.759 1.411 0.287
As -4.383 -1.413 5.193
Ba -7.071 -0.001 2.740
```